Entry 1:
The following is a PBE calculation of LiH8Os2 after structural relaxation, from the Alexandria database.

Output
- DOS(E_F) (states/eV/atom) = 0.23
- energy (eV/atom) = -4.52

Cell and atoms, written as POSCAR:
```
LiH8Os2
1.0
-2.994 -0.788 -0.638
1.628 -4.203 -2.126
-0.769 -0.755 4.866
Os Li H
2 1 8
Cartesian
-1.546 -2.138 2.308 Os
-0.647 -3.431 -0.314 Os
0.060 -0.614 0.323 Li
-1.748 -0.789 1.117 H
-1.079 -1.751 -0.833 H
-1.108 -3.854 2.836 H
-0.446 -4.807 0.903 H
-0.296 -1.297 3.169 H
1.030 -3.203 -0.698 H
-1.647 -3.561 1.192 H
-0.284 -2.327 1.050 H
```



Entry 2:
The following is a PBE calculation of MnIn5 after structural relaxation, from the Alexandria database.

Output
- DOS(E_F) (states/eV/atom) = 0.70
- DFT formation energy (eV/atom) = 0.22

Cell and atoms, written as POSCAR:
```
MnIn5
1.0
3.975 1.532 3.557
-5.339 0.434 1.451
0.141 -5.133 2.054
In Mn
5 1
Cartesian
-0.440 0.634 1.616 In
2.692 1.038 2.409 In
0.941 -1.401 3.881 In
-3.616 0.294 0.983 In
-2.164 -1.767 3.180 In
0.070 -2.567 1.027 Mn
```



Entry 3:
The following is a PBE calculation of BeTcTe2 after structural relaxation, from the Alexandria database.

Output
- DOS(E_F) (states/eV/atom) = 0.82
- energy (eV/atom) = -4.59

Cell and atoms, written as POSCAR:
```
BeTcTe2
1.0
-1.581 2.302 -1.875
-2.326 0.365 2.410
2.160 5.062 4.394
Te Be Tc
2 1 1
Cartesian
1.889 5.082 4.647 Te
0.187 2.694 3.150 Te
-0.832 2.508 0.764 Be
-0.916 5.222 4.166 Tc
```



Entry 4:
The following is a PBE calculation of Tb4AgIr after structural relaxation, from the Alexandria database.

Output
- polymorph energy (0 for the lowest one) (meV/atom) = 0
- DOS(E_F) (states/eV/atom) = 0.98
- DFT formation energy (eV/atom) = -0.49

Cell and atoms, written as POSCAR:
```
Tb4AgIr
1.0
-9.582 0.211 0.081
-4.837 -4.620 6.865
-4.627 4.962 6.771
Tb Ag Ir
16 4 4
Cartesian
-12.431 2.190 10.255 Tb
-9.554 -1.660 8.257 Tb
-6.592 -2.786 6.863 Tb
-9.560 0.236 2.620 Tb
-16.140 -1.360 10.321 Tb
-9.469 2.239 8.218 Tb
-12.454 3.339 6.855 Tb
-12.510 -1.440 10.290 Tb
-14.308 0.390 7.721 Tb
-14.263 0.440 12.855 Tb
-9.487 0.317 11.098 Tb
-11.485 0.306 5.496 Tb
-6.461 3.207 6.804 Tb
-16.060 2.270 10.285 Tb
-12.586 -2.654 6.914 Tb
-7.586 0.220 5.463 Tb
-4.786 -1.418 4.553 Ag
-3.204 0.093 2.308 Ag
-6.339 0.162 2.334 Ag
-4.718 1.716 4.522 Ag
-7.449 0.245 8.299 Ir
-11.572 0.336 8.334 Ir
-9.491 2.324 5.380 Ir
-9.581 -1.799 5.421 Ir
```



Entry 5:
The following is a PBE calculation of Ce2Co4GeAs3 after structural relaxation, from the Alexandria database.

Output
- DOS(E_F) (states/eV/atom) = 0.78
- DFT formation energy (eV/atom) = -0.75

Cell and atoms, written as POSCAR:
```
Ce2Co4GeAs3
1.0
-0.357 2.476 3.265
-3.828 -1.370 0.620
3.367 -6.880 5.586
Ce As Co Ge
2 3 4 1
Cartesian
0.649 -0.453 3.006 Ce
0.626 -5.873 4.523 Ce
1.684 -3.440 2.793 As
2.744 -4.733 6.481 As
-1.469 -1.593 1.048 As
-2.093 0.553 1.942 Co
1.916 -3.042 5.108 Co
0.000 0.000 0.000 Co
-0.642 -3.284 2.421 Co
-0.409 -2.887 4.736 Ge
```



Entry 6:
The following is a PBE calculation of Ca3GaAu3 after structural relaxation, from the Alexandria database.

Output
- polymorph energy (0 for the lowest one) (meV/atom) = 179
- DOS(E_F) (states/eV/atom) = 0.46
- DFT formation energy (eV/atom) = -0.56

Cell and atoms, written as POSCAR:
```
Ca3GaAu3
1.0
-4.641 -0.242 -3.778
-0.830 -8.743 1.580
-4.416 5.885 5.049
Ca Ga Au
6 2 6
Cartesian
-4.003 -2.925 -2.016 Ca
-6.938 -2.501 1.563 Ca
-5.884 -0.174 4.866 Ca
-2.949 -0.598 1.288 Ca
-5.577 -6.719 0.161 Ca
-4.310 3.619 2.690 Ca
-3.186 -3.928 1.792 Ga
-6.702 0.828 1.059 Ga
-5.397 -0.799 -0.440 Au
-3.370 -6.460 2.180 Au
-8.190 -0.077 2.946 Au
-6.518 3.360 0.671 Au
-4.491 -2.301 3.290 Au
-1.697 -3.022 -0.095 Au
```



Which formula does entry 3 have? BeTcTe2



DOS(E_F) of number 3 (BeTcTe2)? 0.82 states/eV/atom



Which value of DOS(E_F) does entry 5 give? 0.78 states/eV/atom



Among the records above, which one has the lowest DOS(E_F)? LiH8Os2